# NpB2

NpB2 after structural relaxation (PBE-GGA, the Open Quantum Materials Database).

Cell and atoms, written as CIF:
```
data_NpB2
_cell_length_a 3.046
_cell_length_b 3.045
_cell_length_c 3.994
_cell_angle_alpha 90.00
_cell_angle_beta 90.00
_cell_angle_gamma 119.98
_symmetry_space_group_name_H-M 'P 1'
_symmetry_Int_Tables_number 1
loop_
_symmetry_equiv_pos_as_xyz
'x,y,z'
loop_
_atom_site_label
_atom_site_fract_x
_atom_site_fract_y
_atom_site_fract_z
B1 0.333 0.667 0.500
B2 0.667 0.333 0.500
Np1 0.000 0.000 0.000
```

crystal system: hexagonal
raw total energy: -27.5 eV per cell
polymorph energy (0 for the lowest one): 0 meV/atom